Here is crystalline AcBiCl at its relaxed geometry from the Alexandria database. Energies are from PBE.

Computed properties:
E_form (uncorrected) = -1.065 eV per atom
energy above the most stable polymorph in this dataset = 336.8 meV per atom
spin magnetization = 0.000 μB per formula unit

CIF file:
```
data_AcBiCl
_cell_length_a 4.468
_cell_length_b 4.468
_cell_length_c 7.327
_cell_angle_alpha 90.00
_cell_angle_beta 90.00
_cell_angle_gamma 120.00
_symmetry_space_group_name_H-M 'P 1'
_symmetry_Int_Tables_number 1
loop_
_symmetry_equiv_pos_as_xyz
'x,y,z'
loop_
_atom_site_label
_atom_site_type_symbol
_atom_site_fract_x
_atom_site_fract_y
_atom_site_fract_z
Ac1 Ac 0.667 0.333 0.366
Bi1 Bi 0.000 0.000 0.054
Cl1 Cl 0.333 0.667 0.580
```



Here is crystalline Hg6As at its relaxed geometry from the Alexandria database. Energies are from PBE.

Computed properties:
spin magnetization = 2.083 μB per formula unit
formation energy = 500 meV per atom

CIF file:
```
data_Hg6As
_cell_length_a 7.179
_cell_length_b 7.179
_cell_length_c 7.179
_cell_angle_alpha 109.47
_cell_angle_beta 109.47
_cell_angle_gamma 109.47
_symmetry_space_group_name_H-M 'P 1'
_symmetry_Int_Tables_number 1
loop_
_symmetry_equiv_pos_as_xyz
'x,y,z'
loop_
_atom_site_label
_atom_site_type_symbol
_atom_site_fract_x
_atom_site_fract_y
_atom_site_fract_z
Hg1 Hg 0.250 0.750 0.500
Hg2 Hg 0.500 0.750 0.250
Hg3 Hg 0.250 0.500 0.750
Hg4 Hg 0.750 0.250 0.500
Hg5 Hg 0.500 0.250 0.750
Hg6 Hg 0.750 0.500 0.250
As1 As 0.000 0.000 0.000
```



Here is crystalline Pr2NdDy9 at its relaxed geometry from the Alexandria database. Energies are from PBE.

Computed properties:
energy above the most stable polymorph in this dataset = 0.0 meV per atom
spin magnetization = 0.000 μB per formula unit
formation energy = 21 meV per atom

CIF file:
```
data_Pr2NdDy9
_cell_length_a 5.065
_cell_length_b 5.065
_cell_length_c 15.193
_cell_angle_alpha 90.00
_cell_angle_beta 90.00
_cell_angle_gamma 90.00
_symmetry_space_group_name_H-M 'P 1'
_symmetry_Int_Tables_number 1
loop_
_symmetry_equiv_pos_as_xyz
'x,y,z'
loop_
_atom_site_label
_atom_site_type_symbol
_atom_site_fract_x
_atom_site_fract_y
_atom_site_fract_z
Pr1 Pr 0.000 0.000 0.333
Pr2 Pr 0.000 0.000 0.667
Nd1 Nd 0.000 0.000 0.000
Dy1 Dy 0.500 0.500 0.000
Dy2 Dy 0.500 0.500 0.333
Dy3 Dy 0.500 0.500 0.667
Dy4 Dy 0.500 0.000 0.166
Dy5 Dy 0.500 0.000 0.500
Dy6 Dy 0.500 0.000 0.834
Dy7 Dy 0.000 0.500 0.166
Dy8 Dy 0.000 0.500 0.500
Dy9 Dy 0.000 0.500 0.834
```



Here is crystalline Li2B3C3 at its relaxed geometry from the Alexandria database. Energies are from PBE.

Computed properties:
energy above the most stable polymorph in this dataset = 7.0 meV per atom
spin magnetization = 0.000 μB per formula unit
formation energy = -170 meV per atom

CIF file:
```
data_Li2B3C3
_cell_length_a 4.703
_cell_length_b 4.703
_cell_length_c 7.248
_cell_angle_alpha 90.00
_cell_angle_beta 90.00
_cell_angle_gamma 120.00
_symmetry_space_group_name_H-M 'P 1'
_symmetry_Int_Tables_number 1
loop_
_symmetry_equiv_pos_as_xyz
'x,y,z'
loop_
_atom_site_label
_atom_site_type_symbol
_atom_site_fract_x
_atom_site_fract_y
_atom_site_fract_z
C1 C 0.335 0.002 0.750
C2 C 0.335 0.333 0.250
C3 C 0.667 0.665 0.750
C4 C 0.667 0.002 0.250
C5 C 0.998 0.333 0.750
C6 C 0.998 0.665 0.250
B1 B 0.332 0.999 0.250
B2 B 0.332 0.333 0.750
B3 B 0.667 0.668 0.250
B4 B 0.667 0.999 0.750
B5 B 0.001 0.333 0.250
B6 B 0.001 0.668 0.750
Li1 Li 0.000 0.000 0.000
Li2 Li 0.333 0.667 0.500
Li3 Li 0.667 0.333 0.000
Li4 Li 0.667 0.333 0.500
```



Here is crystalline NiSnIr2S at its relaxed geometry from the Alexandria database. Energies are from PBE.

Computed properties:
E_form (uncorrected) = 0.431 eV per atom
spin magnetization = 0.000 μB per formula unit

CIF file:
```
data_NiSnIr2S
_cell_length_a 4.538
_cell_length_b 4.137
_cell_length_c 4.538
_cell_angle_alpha 90.00
_cell_angle_beta 90.00
_cell_angle_gamma 90.00
_symmetry_space_group_name_H-M 'P 1'
_symmetry_Int_Tables_number 1
loop_
_symmetry_equiv_pos_as_xyz
'x,y,z'
loop_
_atom_site_label
_atom_site_type_symbol
_atom_site_fract_x
_atom_site_fract_y
_atom_site_fract_z
Ni1 Ni 0.000 0.500 0.000
S1 S 0.000 0.000 0.000
Ir1 Ir 0.000 0.000 0.500
Ir2 Ir 0.500 0.000 0.000
Sn1 Sn 0.500 0.500 0.500
```



Here is crystalline HfNiBi3 at its relaxed geometry from the Alexandria database. Energies are from PBE.

Computed properties:
energy above the most stable polymorph in this dataset = 377.6 meV per atom
spin magnetization = 0.992 μB per formula unit
formation energy = 902 meV per atom

CIF file:
```
data_HfNiBi3
_cell_length_a 5.580
_cell_length_b 5.580
_cell_length_c 5.580
_cell_angle_alpha 90.00
_cell_angle_beta 90.00
_cell_angle_gamma 90.00
_symmetry_space_group_name_H-M 'P 1'
_symmetry_Int_Tables_number 1
loop_
_symmetry_equiv_pos_as_xyz
'x,y,z'
loop_
_atom_site_label
_atom_site_type_symbol
_atom_site_fract_x
_atom_site_fract_y
_atom_site_fract_z
Ni1 Ni 0.500 0.500 0.500
Hf1 Hf 0.000 0.000 0.000
Bi1 Bi 0.000 0.500 0.000
Bi2 Bi 0.000 0.000 0.500
Bi3 Bi 0.500 0.000 0.000
```



Here is crystalline PmPrPuHg at its relaxed geometry from the Alexandria database. Energies are from PBE.

Computed properties:
spin magnetization = 7.269 μB per formula unit
formation energy = 82 meV per atom

CIF file:
```
data_PmPrPuHg
_cell_length_a 5.475
_cell_length_b 5.475
_cell_length_c 5.475
_cell_angle_alpha 60.00
_cell_angle_beta 60.00
_cell_angle_gamma 60.00
_symmetry_space_group_name_H-M 'P 1'
_symmetry_Int_Tables_number 1
loop_
_symmetry_equiv_pos_as_xyz
'x,y,z'
loop_
_atom_site_label
_atom_site_type_symbol
_atom_site_fract_x
_atom_site_fract_y
_atom_site_fract_z
Pr1 Pr 0.500 0.500 0.500
Pm1 Pm 0.750 0.750 0.750
Hg1 Hg 0.250 0.250 0.250
Pu1 Pu 0.000 0.000 0.000
```



Here is crystalline Y2BeVSi at its relaxed geometry from the Alexandria database. Energies are from PBE.

Computed properties:
E_form (uncorrected) = 0.608 eV per atom
spin magnetization = 0.145 μB per formula unit

CIF file:
```
data_Y2BeVSi
_cell_length_a 5.416
_cell_length_b 4.018
_cell_length_c 5.416
_cell_angle_alpha 90.00
_cell_angle_beta 90.00
_cell_angle_gamma 90.00
_symmetry_space_group_name_H-M 'P 1'
_symmetry_Int_Tables_number 1
loop_
_symmetry_equiv_pos_as_xyz
'x,y,z'
loop_
_atom_site_label
_atom_site_type_symbol
_atom_site_fract_x
_atom_site_fract_y
_atom_site_fract_z
Y1 Y 0.000 0.000 0.500
Y2 Y 0.500 0.000 0.000
Be1 Be 0.000 0.500 0.000
Si1 Si 0.000 0.000 0.000
V1 V 0.500 0.500 0.500
```



Here is crystalline Sr3ScPd at its relaxed geometry from the Alexandria database. Energies are from PBE.

Computed properties:
energy above the most stable polymorph in this dataset = 858.8 meV per atom
spin magnetization = 4.168 μB per formula unit
formation energy = 898 meV per atom

CIF file:
```
data_Sr3ScPd
_cell_length_a 6.130
_cell_length_b 6.130
_cell_length_c 6.130
_cell_angle_alpha 90.00
_cell_angle_beta 90.00
_cell_angle_gamma 90.00
_symmetry_space_group_name_H-M 'P 1'
_symmetry_Int_Tables_number 1
loop_
_symmetry_equiv_pos_as_xyz
'x,y,z'
loop_
_atom_site_label
_atom_site_type_symbol
_atom_site_fract_x
_atom_site_fract_y
_atom_site_fract_z
Sc1 Sc 0.000 0.000 0.000
Sr1 Sr 0.000 0.500 0.000
Sr2 Sr 0.000 0.000 0.500
Sr3 Sr 0.500 0.000 0.000
Pd1 Pd 0.500 0.500 0.500
```



Here is crystalline Ag3Pb4 at its relaxed geometry from the Alexandria database. Energies are from PBE.

Computed properties:
spin magnetization = 0.000 μB per formula unit
formation energy = 79 meV per atom

CIF file:
```
data_Ag3Pb4
_cell_length_a 5.705
_cell_length_b 5.705
_cell_length_c 6.382
_cell_angle_alpha 90.00
_cell_angle_beta 90.00
_cell_angle_gamma 120.00
_symmetry_space_group_name_H-M 'P 1'
_symmetry_Int_Tables_number 1
loop_
_symmetry_equiv_pos_as_xyz
'x,y,z'
loop_
_atom_site_label
_atom_site_type_symbol
_atom_site_fract_x
_atom_site_fract_y
_atom_site_fract_z
Ag1 Ag 0.000 0.500 0.000
Ag2 Ag 0.500 0.500 0.000
Ag3 Ag 0.500 0.000 0.000
Pb1 Pb 0.000 0.000 0.248
Pb2 Pb 0.000 0.000 0.752
Pb3 Pb 0.667 0.333 0.500
Pb4 Pb 0.333 0.667 0.500
```



Here is crystalline CaTl2P at its relaxed geometry from the Alexandria database. Energies are from PBE.

Computed properties:
energy above the most stable polymorph in this dataset = 0.0 meV per atom
spin magnetization = 0.000 μB per formula unit
formation energy = -374 meV per atom

CIF file:
```
data_CaTl2P
_cell_length_a 3.979
_cell_length_b 4.259
_cell_length_c 6.880
_cell_angle_alpha 72.04
_cell_angle_beta 90.00
_cell_angle_gamma 90.00
_symmetry_space_group_name_H-M 'P 1'
_symmetry_Int_Tables_number 1
loop_
_symmetry_equiv_pos_as_xyz
'x,y,z'
loop_
_atom_site_label
_atom_site_type_symbol
_atom_site_fract_x
_atom_site_fract_y
_atom_site_fract_z
Ca1 Ca 0.000 0.516 0.593
P1 P 0.500 0.980 0.666
Tl1 Tl 0.000 0.808 0.006
Tl2 Tl 0.500 0.196 0.236
```



Here is crystalline Pm4Pr4Mg at its relaxed geometry from the Alexandria database. Energies are from PBE.

Computed properties:
spin magnetization = 0.000 μB per formula unit
formation energy = 18 meV per atom

CIF file:
```
data_Pm4Pr4Mg
_cell_length_a 6.691
_cell_length_b 9.016
_cell_length_c 12.592
_cell_angle_alpha 117.11
_cell_angle_beta 98.96
_cell_angle_gamma 65.59
_symmetry_space_group_name_H-M 'P 1'
_symmetry_Int_Tables_number 1
loop_
_symmetry_equiv_pos_as_xyz
'x,y,z'
loop_
_atom_site_label
_atom_site_type_symbol
_atom_site_fract_x
_atom_site_fract_y
_atom_site_fract_z
Pm1 Pm 0.391 0.787 0.788
Pm2 Pm 0.211 0.681 0.241
Pm3 Pm 0.417 0.364 0.520
Pm4 Pm 0.202 0.271 0.988
Pm5 Pm 0.583 0.636 0.480
Pm6 Pm 0.798 0.729 0.012
Pm7 Pm 0.609 0.213 0.212
Pm8 Pm 0.789 0.319 0.759
Pr1 Pr 0.992 0.844 0.563
Pr2 Pr 0.212 0.958 0.110
Pr3 Pr 0.386 0.113 0.673
Pr4 Pr 0.021 0.426 0.293
Pr5 Pr 0.979 0.574 0.707
Pr6 Pr 0.614 0.887 0.327
Pr7 Pr 0.788 0.042 0.890
Pr8 Pr 0.008 0.156 0.437
Mg1 Mg 0.332 0.530 0.914
Mg2 Mg 0.668 0.470 0.086
```



Look up the spin magnetization of the ninth one. 4.168 μB per formula unit



Copy entry 9 word for word.
Here is crystalline Sr3ScPd at its relaxed geometry from the Alexandria database. Energies are from PBE.

Computed properties:
energy above the most stable polymorph in this dataset = 858.8 meV per atom
spin magnetization = 4.168 μB per formula unit
formation energy = 898 meV per atom

CIF file:
```
data_Sr3ScPd
_cell_length_a 6.130
_cell_length_b 6.130
_cell_length_c 6.130
_cell_angle_alpha 90.00
_cell_angle_beta 90.00
_cell_angle_gamma 90.00
_symmetry_space_group_name_H-M 'P 1'
_symmetry_Int_Tables_number 1
loop_
_symmetry_equiv_pos_as_xyz
'x,y,z'
loop_
_atom_site_label
_atom_site_type_symbol
_atom_site_fract_x
_atom_site_fract_y
_atom_site_fract_z
Sc1 Sc 0.000 0.000 0.000
Sr1 Sr 0.000 0.500 0.000
Sr2 Sr 0.000 0.000 0.500
Sr3 Sr 0.500 0.000 0.000
Pd1 Pd 0.500 0.500 0.500
```